No. 1
MgMnIn2 | SCAN | PBEsol geometry

Lattice parameters (Å, degrees): 3.6614 3.6614 5.9245 90.00 90.00 90.00
Positions (direct):
In  0.5000  0.5000  0.2590
In  0.0000  0.0000  0.9765
Mn  0.5000  0.5000  0.7547
Mg  0.0000  0.0000  0.5098

Properties
Calculated density: 6.46 g cm⁻³
Energy relative to the elements: -0.004 eV per atom
Uncorrected energy: -90.02 eV per formula unit

***

No. 2
K4CuTe | SCAN | PBEsol geometry

Lattice parameters (Å, degrees): 6.7703 6.7703 6.7703 60.00 60.00 60.00
Positions (direct):
K  0.8715  0.3762  0.3762
K  0.3762  0.3762  0.3762
K  0.3762  0.8715  0.3762
K  0.3762  0.3762  0.8715
Cu  0.0000  0.0000  0.0000
Te  0.7500  0.7500  0.7500

Properties
Calculated density: 2.63 g cm⁻³
Uncorrected energy: -84.70 eV per formula unit
E_form (uncorrected): 177.9 meV per atom